Hf2UCd PBE relaxed; ΔH_f (0 K) = 118.6 meV per atom; Fermi-level density of states = 6.8 states/eV/f.u.; E = -7.9090 eV/atom; energy relative to the lowest polymorph listed for this composition = 0 meV/atom
1.0
2.9936 0.0000 0.0000
0.0000 2.9936 0.0000
0.0000 0.0000 9.6860
Hf U Cd
2 1 1
Direct
0.0000 0.0000 0.2480 Hf
0.0000 0.0000 0.7520 Hf
0.5000 0.5000 0.5000 U
0.5000 0.5000 0.0000 Cd

=====

Ca3HoPa2P6 PBE relaxed; ΔH_f (0 K) = -1324.3 meV per atom; Fermi-level density of states = 5.5 states/eV/f.u.; E = -6.4938 eV/atom
1.0
3.5138 -6.0848 0.0000
3.5138 6.0848 0.0000
-2.3408 0.0000 6.6309
Ca Ho Pa P
3 1 2 6
Direct
0.0000 0.0000 0.0000 Ca
0.3349 0.6651 0.0000 Ca
0.6651 0.3349 0.0000 Ca
0.5000 0.5000 0.5000 Ho
0.1669 0.8331 0.5000 Pa
0.8331 0.1669 0.5000 Pa
0.0830 0.4233 0.2701 P
0.2366 0.2366 0.7307 P
0.4233 0.0830 0.2701 P
0.5767 0.9170 0.7299 P
0.7634 0.7634 0.2693 P
0.9170 0.5767 0.7299 P

=====

RhSeBrN2 PBE relaxed; Fermi-level density of states = 6.4 states/eV/f.u.; E = -3.6375 eV/atom; energy relative to the lowest polymorph listed for this composition = 1097 meV/atom
1.0
3.7049 0.0000 0.0000
0.0000 3.7049 0.0000
0.0000 0.0000 7.3993
Rh Se Br N
1 1 1 2
Direct
0.0000 0.0000 0.0000 Rh
0.5000 0.5000 0.0000 Se
0.5000 0.5000 0.5000 Br
0.0000 0.5000 0.5000 N
0.5000 0.0000 0.5000 N

=====

NbGeRu2W PBE relaxed; ΔH_f (0 K) = 1876.2 meV per atom; Fermi-level density of states = 8.0 states/eV/f.u.; E = -7.3622 eV/atom
1.0
4.6150 0.0000 0.0000
0.0000 4.6150 0.0000
0.0000 0.0000 4.7731
Nb Ge Ru W
1 1 2 1
Direct
0.0000 0.0000 0.0000 Nb
0.0000 0.0000 0.5000 Ge
0.0000 0.5000 0.0000 Ru
0.5000 0.0000 0.0000 Ru
0.5000 0.5000 0.5000 W

=====

Sc6SnBi2Te3 PBE relaxed; Fermi-level density of states = 5.3 states/eV/f.u.; E = -5.8255 eV/atom
1.0
9.1711 -2.0976 0.0000
9.1711 2.0976 0.0000
-1.9603 0.0000 8.1862
Sc Sn Bi Te
6 1 2 3
Direct
0.0010 0.0010 0.2609 Sc
0.3337 0.3337 0.9178 Sc
0.3386 0.3386 0.4201 Sc
0.6614 0.6614 0.5799 Sc
0.6663 0.6663 0.0822 Sc
0.9990 0.9990 0.7391 Sc
0.5000 0.5000 0.5000 Sn
0.1665 0.1665 0.8330 Bi
0.8335 0.8335 0.1670 Bi
0.1688 0.1688 0.3335 Te
0.5000 0.5000 0.0000 Te
0.8312 0.8312 0.6665 Te

=====

ZrCo3Sb PBE relaxed; Fermi-level density of states = 6.8 states/eV/f.u.; E = -5.5593 eV/atom; energy relative to the lowest polymorph listed for this composition = 397 meV/atom
1.0
4.5969 0.0000 0.0000
0.0000 4.5969 0.0000
0.0000 0.0000 4.5969
Zr Co Sb
1 3 1
Direct
0.0000 0.0000 0.0000 Zr
0.0000 0.0000 0.5000 Co
0.0000 0.5000 0.0000 Co
0.5000 0.0000 0.0000 Co
0.5000 0.5000 0.5000 Sb

=====

ZnAg2Au2 PBE relaxed; ΔH_f (0 K) = -63.9 meV per atom; Fermi-level density of states = 1.2 states/eV/f.u.; E = -2.7701 eV/atom; energy relative to the lowest polymorph listed for this composition = 23 meV/atom
1.0
2.2124 -7.2453 0.0000
2.2124 7.2453 0.0000
0.0000 0.0000 5.5343
Zn Ag Au
2 4 4
Direct
0.1014 0.8986 0.5000 Zn
0.8986 0.1014 0.0000 Zn
0.2843 0.7157 0.7059 Ag
0.4755 0.5245 0.7995 Ag
0.5245 0.4755 0.2995 Ag
0.7157 0.2843 0.2059 Ag
0.0984 0.9016 0.0101 Au
0.3349 0.6651 0.2068 Au
0.6651 0.3349 0.7068 Au
0.9016 0.0984 0.5101 Au

=====

Ca4CeSn5 PBE relaxed; ΔH_f (0 K) = -606.0 meV per atom; Fermi-level density of states = 10.4 states/eV/f.u.; E = -4.0015 eV/atom
1.0
3.4992 0.0000 0.0000
0.0000 3.4992 0.0000
0.0000 0.0000 22.8921
Ca Ce Sn
4 1 5
Direct
0.0000 0.0000 0.0997 Ca
0.0000 0.0000 0.2982 Ca
0.0000 0.0000 0.7018 Ca
0.0000 0.0000 0.9003 Ca
0.0000 0.0000 0.5000 Ce
0.5000 0.5000 0.0000 Sn
0.5000 0.5000 0.1992 Sn
0.5000 0.5000 0.3988 Sn
0.5000 0.5000 0.6012 Sn
0.5000 0.5000 0.8008 Sn

=====

TiPdN PBE relaxed; Fermi-level density of states = 1.6 states/eV/f.u.; E = -8.1189 eV/atom
1.0
-1.4644 1.4644 8.7939
1.4644 -1.4644 8.7939
1.4644 1.4644 -8.7939
Ti Pd N
2 2 2
Direct
0.1840 0.1840 0.0000 Ti
0.8161 0.8161 0.0000 Ti
0.4280 0.4280 0.0000 Pd
0.5720 0.5720 0.0000 Pd
0.3044 0.3044 0.0000 N
0.6956 0.6956 0.0000 N

=====

TcOs2Cl PBE relaxed; Fermi-level density of states = 4.9 states/eV/f.u.; E = -7.7568 eV/atom; energy relative to the lowest polymorph listed for this composition = 468 meV/atom
1.0
2.7995 0.0000 0.0000
0.0000 3.5389 0.0000
0.0000 0.0000 6.7269
Tc Os Cl
1 2 1
Direct
0.0000 0.0000 0.0000 Tc
0.5000 0.5000 0.1998 Os
0.5000 0.5000 0.8002 Os
0.0000 0.0000 0.5000 Cl

=====

KHfSbO6 PBE relaxed; Fermi-level density of states = 4.4 states/eV/f.u.; E = -6.7599 eV/atom
1.0
5.7232 0.0000 0.0000
-2.8616 4.9564 0.0000
0.0000 0.0000 10.8599
K Hf Sb O
2 2 2 12
Direct
0.0000 0.0000 0.0000 K
0.0000 0.0000 0.5000 K
0.3333 0.6667 0.2500 Hf
0.6667 0.3333 0.7500 Hf
0.3333 0.6667 0.7500 Sb
0.6667 0.3333 0.2500 Sb
0.0104 0.4147 0.6502 O
0.0104 0.5957 0.8498 O
0.4043 0.4147 0.8498 O
0.4043 0.9896 0.6502 O
0.4147 0.0104 0.1502 O
0.4147 0.4043 0.3498 O
0.5853 0.5957 0.6502 O
0.5853 0.9896 0.8498 O
0.5957 0.0104 0.3498 O
0.5957 0.5853 0.1502 O
0.9896 0.4043 0.1502 O
0.9896 0.5853 0.3498 O

=====

Ce3Cd4 PBE relaxed; ΔH_f (0 K) = 63.6 meV per atom; Fermi-level density of states = 14.4 states/eV/f.u.; E = -3.0024 eV/atom
1.0
6.0747 0.0000 0.0000
-3.0373 5.2608 0.0000
0.0000 0.0000 5.8971
Ce Cd
3 4
Direct
0.0000 0.5000 0.0000 Ce
0.5000 0.0000 0.0000 Ce
0.5000 0.5000 0.0000 Ce
0.0000 0.0000 0.2612 Cd
0.0000 0.0000 0.7388 Cd
0.3333 0.6667 0.5000 Cd
0.6667 0.3333 0.5000 Cd

=====

TiMnZnTc PBE relaxed; ΔH_f (0 K) = -32.5 meV per atom; Fermi-level density of states = 4.8 states/eV/f.u.; E = -7.2086 eV/atom
1.0
0.0000 3.0541 3.0541
3.0541 0.0000 3.0541
3.0541 3.0541 0.0000
Ti Mn Zn Tc
1 1 1 1
Direct
0.0000 0.0000 0.0000 Ti
0.5000 0.5000 0.5000 Mn
0.2500 0.2500 0.2500 Zn
0.7500 0.7500 0.7500 Tc

=====

ScTlAs PBE relaxed; ΔH_f (0 K) = -536.6 meV per atom; Fermi-level density of states = 1.7 states/eV/f.u.; E = -4.9857 eV/atom; energy relative to the lowest polymorph listed for this composition = 0 meV/atom
1.0
-1.8766 1.8766 5.7329
1.8766 -1.8766 5.7329
1.8766 1.8766 -5.7329
Sc Tl As
1 1 1
Direct
0.0000 0.0000 0.0000 Sc
0.7337 0.7337 0.0000 Tl
0.4828 0.4828 0.0000 As

=====

Sr2Cu3 PBE relaxed; ΔH_f (0 K) = -79.2 meV per atom; Fermi-level density of states = 2.7 states/eV/f.u.; E = -3.2096 eV/atom
1.0
2.1604 -13.4644 0.0000
2.1604 13.4644 0.0000
0.0000 0.0000 4.3064
Sr Cu
4 6
Direct
0.0682 0.9318 0.7500 Sr
0.1996 0.8004 0.2500 Sr
0.8004 0.1996 0.7500 Sr
0.9318 0.0682 0.2500 Sr
0.3377 0.6623 0.2500 Cu
0.3852 0.6148 0.7500 Cu
0.4772 0.5228 0.7500 Cu
0.5228 0.4772 0.2500 Cu
0.6148 0.3852 0.2500 Cu
0.6623 0.3377 0.7500 Cu

=====

AlCdGaAg PBE relaxed; ΔH_f (0 K) = 110.8 meV per atom; Fermi-level density of states = 0.8 states/eV/f.u.; E = -2.5232 eV/atom; energy relative to the lowest polymorph listed for this composition = 98 meV/atom
1.0
0.0000 3.3885 3.3885
3.3885 0.0000 3.3885
3.3885 3.3885 0.0000
Al Cd Ga Ag
1 1 1 1
Direct
0.0000 0.0000 0.0000 Al
0.5000 0.5000 0.5000 Cd
0.7500 0.7500 0.7500 Ga
0.2500 0.2500 0.2500 Ag

=====

La5SmPb5 PBE relaxed; ΔH_f (0 K) = -384.7 meV per atom; Fermi-level density of states = 11.7 states/eV/f.u.; E = -4.7390 eV/atom
1.0
7.4938 -3.2749 0.0000
7.4938 3.2749 0.0000
-2.7011 0.0000 8.5408
La Sm Pb
5 1 5
Direct
0.0000 0.0000 0.0000 La
0.3302 0.3302 0.1676 La
0.3324 0.3324 0.6665 La
0.6676 0.6676 0.3335 La
0.6698 0.6698 0.8324 La
0.0000 0.0000 0.5000 Sm
0.1619 0.1619 0.3332 Pb
0.1628 0.1628 0.8312 Pb
0.5000 0.5000 0.5000 Pb
0.8372 0.8372 0.1688 Pb
0.8381 0.8381 0.6668 Pb

=====

ZrScMo2Pt PBE relaxed; ΔH_f (0 K) = 946.9 meV per atom; Fermi-level density of states = 7.5 states/eV/f.u.; E = -7.5696 eV/atom
1.0
4.8614 0.0000 0.0000
0.0000 4.8614 0.0000
0.0000 0.0000 4.9890
Zr Sc Mo Pt
1 1 2 1
Direct
0.0000 0.0000 0.0000 Zr
0.5000 0.5000 0.0000 Sc
0.0000 0.5000 0.5000 Mo
0.5000 0.0000 0.5000 Mo
0.0000 0.0000 0.5000 Pt

=====

Na2NpAgO4 PBE relaxed; Fermi-level density of states = 3.2 states/eV/f.u.; E = -6.6981 eV/atom
1.0
5.7659 0.0000 0.0000
0.0000 3.5829 0.0000
-0.7224 0.0000 5.7892
Na Np Ag O
2 1 1 4
Direct
0.0000 0.0000 0.0000 Na
0.0000 0.5000 0.5000 Na
0.5000 0.0000 0.5000 Np
0.5000 0.5000 0.0000 Ag
0.2326 0.0000 0.6807 O
0.3188 0.5000 0.2979 O
0.6812 0.5000 0.7021 O
0.7674 0.0000 0.3193 O

=====

CdTcPdCl2 PBE relaxed; Fermi-level density of states = 5.3 states/eV/f.u.; E = -3.5915 eV/atom
1.0
4.5645 0.0000 0.0000
0.0000 4.5645 0.0000
0.0000 0.0000 5.7547
Cd Tc Pd Cl
1 1 1 2
Direct
0.0000 0.0000 0.0000 Cd
0.0000 0.0000 0.5000 Tc
0.5000 0.5000 0.0000 Pd
0.0000 0.5000 0.5000 Cl
0.5000 0.0000 0.5000 Cl